Computed, not measured: a relaxed structure of Sc2Fe at the PBE level of DFT.

Results
Energy relative to the elements, eV per atom: 0.079
Crystal system: cubic
Size of the total moment, μB per atom: 0.000
E_tot, eV per cell: -83.56

abc: 6.1620 6.1620 6.1620
angles: 90.00 90.00 90.00
Fractional coordinates of all 12 atoms:
Sc (0.1598, 0.1598, 0.1598)
Sc (0.1598, 0.3402, 0.6598)
Sc (0.3402, 0.6598, 0.1598)
Sc (0.3402, 0.8402, 0.6598)
Sc (0.6598, 0.1598, 0.3402)
Sc (0.6598, 0.3402, 0.8402)
Sc (0.8402, 0.6598, 0.3402)
Sc (0.8402, 0.8402, 0.8402)
Fe (0.0000, 0.0000, 0.5000)
Fe (0.0000, 0.5000, 0.0000)
Fe (0.5000, 0.0000, 0.0000)
Fe (0.5000, 0.5000, 0.5000)

***

Computed, not measured: a relaxed structure of Sc2Fe at the PBE level of DFT.

Results
Energy relative to the elements, eV per atom: 0.280
Crystal system: hexagonal
Size of the total moment, μB per atom: 0.523
E_tot, eV per cell: -20.29

abc: 4.7053 4.7053 2.8201
angles: 90.00 90.00 120.00
Fractional coordinates of all 3 atoms:
Sc (0.3333, 0.6667, 0.0000)
Sc (0.6667, 0.3333, 0.0000)
Fe (0.0000, 0.0000, 0.5000)

***

Computed, not measured: a relaxed structure of Sc3Fe at the PBE level of DFT.

Results
Energy relative to the elements, eV per atom: -0.055
Crystal system: orthorhombic
Size of the total moment, μB per atom: 0.000
E_tot, eV per cell: -55.36

abc: 3.2633 4.8882 9.8491
angles: 90.00 90.00 90.00
Fractional coordinates of all 8 atoms:
Sc (0.0000, 0.0000, 0.0000)
Sc (0.0000, 0.5000, 0.1977)
Sc (0.0000, 0.5000, 0.8023)
Sc (0.5000, 0.0000, 0.3023)
Sc (0.5000, 0.0000, 0.6977)
Sc (0.5000, 0.5000, 0.5000)
Fe (0.0000, 0.0000, 0.5000)
Fe (0.5000, 0.5000, 0.0000)